Here is a geometry-optimized Nd4Bi2Sb structure from Alexandria. Energies are from GGA-PBE.

a b c (Å): 9.8319 14.1985 14.2238
angles (deg): 90.00 90.00 90.00
With the nearest neighbours (Å) after each atom.
Space group Fddd (No. 70, origin choice 2)
Unique sites:
Nd (0.0640, 0.2789, 0.4706) [32 per cell]  3 Bi 3.14-3.23, 1 Sb 3.16
Bi (0.0000, 0.0000, 0.0000) [16 per cell]  6 Nd 3.14-3.23
Sb (0.1250, 0.1250, 0.6250) [8 per cell]  4 Nd 3.16

Properties
formation energy without anion corrections: -485.9 kJ/mol of formula units
excess energy over the best structure of this formula in the dataset: 0.1898 eV per atom

Here is a geometry-optimized Cd4Pd5Pt structure from Alexandria. Energies are from GGA-PBE.

a b c (Å): 3.3382 3.3382 15.3978
angles (deg): 90.00 90.00 90.00
With the nearest neighbours (Å) after each atom.
Space group P4/mmm (No. 123)
Unique sites:
Cd (0.0000, 0.0000, 0.1023) [2 per cell]  8 Pd 2.83-2.84, 2 Cd 3.15-3.17
Cd (0.0000, 0.0000, 0.3081) [2 per cell]  8 Pd 2.81-2.86, 1 Pt 2.96
Pd (0.5000, 0.5000, 0.0000) [1 per cell]  8 Cd 2.84, 2 Pd 3.14
Pd (0.5000, 0.5000, 0.2037) [2 per cell]  8 Cd 2.83-2.86, 2 Pd 3.13-3.14
Pd (0.5000, 0.5000, 0.4067) [2 per cell]  4 Pt 2.76, 4 Cd 2.81, 1 Pd 2.87
Pt (0.0000, 0.0000, 0.5000) [1 per cell]  8 Pd 2.76, 2 Cd 2.96

Properties
calculated formation energy: -3.07 eV/f.u.

Record-wise size of the total moment values, in μB per cell: 8.04 0.00